(1)
P4Se5 at its PBEsol-relaxed geometry, computed with SCAN.

```
data_P4Se5
_chemical_formula_sum 'P16 Se20'
_space_group_name_H-M_alt 'P 1'
_space_group_IT_number 1
_space_group_name_Hall 'P 1'
_cell_length_a 6.6085
_cell_length_b 10.7884
_cell_length_c 13.0860
_cell_angle_alpha 90.00
_cell_angle_beta 90.00
_cell_angle_gamma 90.00
loop_
_atom_site_label
_atom_site_type_symbol
_atom_site_fract_x
_atom_site_fract_y
_atom_site_fract_z
_atom_site_occupancy
P1 P 0.5094 0.5097 0.9106 1
P2 P 0.0094 0.4903 0.0894 1
P3 P 0.5094 0.9903 0.4106 1
P4 P 0.0094 0.0097 0.5894 1
P5 P 0.1919 0.4495 0.8653 1
P6 P 0.6919 0.5505 0.1347 1
P7 P 0.1919 0.0505 0.3653 1
P8 P 0.6919 0.9495 0.6347 1
P9 P 0.6031 0.3138 0.8851 1
P10 P 0.1031 0.6862 0.1149 1
P11 P 0.6031 0.1862 0.3851 1
P12 P 0.1031 0.8138 0.6149 1
P13 P 0.5402 0.4648 0.6513 1
P14 P 0.0402 0.5352 0.3487 1
P15 P 0.5402 0.0352 0.1513 1
P16 P 0.0402 0.9648 0.8487 1
Se1 Se 0.6404 0.6046 0.7745 1
Se2 Se 0.1404 0.3954 0.2255 1
Se3 Se 0.6404 0.8954 0.2745 1
Se4 Se 0.1404 0.1046 0.7255 1
Se5 Se 0.2061 0.4487 0.6908 1
Se6 Se 0.7061 0.5513 0.3092 1
Se7 Se 0.2061 0.0513 0.1908 1
Se8 Se 0.7061 0.9487 0.8092 1
Se9 Se 0.6776 0.2861 0.7154 1
Se10 Se 0.1776 0.7139 0.2846 1
Se11 Se 0.6776 0.2139 0.2154 1
Se12 Se 0.1776 0.7861 0.7846 1
Se13 Se 0.2807 0.2559 0.9290 1
Se14 Se 0.7807 0.7441 0.0710 1
Se15 Se 0.2807 0.2441 0.4290 1
Se16 Se 0.7807 0.7559 0.5710 1
Se17 Se 0.8300 0.2301 0.9806 1
Se18 Se 0.3300 0.7699 0.0194 1
Se19 Se 0.8300 0.2699 0.4806 1
Se20 Se 0.3300 0.7301 0.5194 1
```

(2)
P2Se at its PBEsol-relaxed geometry, computed with SCAN.

Values from the calculation:
Distance to the lowest polymorph of the same formula: 0 meV/atom

```
data_P2Se
_chemical_formula_sum 'P2 Se1'
_space_group_name_H-M_alt 'P 1'
_space_group_IT_number 1
_space_group_name_Hall 'P 1'
_cell_length_a 3.1430
_cell_length_b 3.1430
_cell_length_c 6.1186
_cell_angle_alpha 104.88
_cell_angle_beta 104.88
_cell_angle_gamma 90.00
loop_
_atom_site_label
_atom_site_type_symbol
_atom_site_fract_x
_atom_site_fract_y
_atom_site_fract_z
_atom_site_occupancy
P1 P 0.7210 0.7210 0.4420 1
P2 P 0.2790 0.2790 0.5580 1
Se1 Se 0.5000 0.5000 0.0000 1
```

(3)
P4Se3 at its PBEsol-relaxed geometry, computed with SCAN.

```
data_P4Se3
_chemical_formula_sum 'P32 Se24'
_space_group_name_H-M_alt 'P 1'
_space_group_IT_number 1
_space_group_name_Hall 'P 1'
_cell_length_a 9.7012
_cell_length_b 10.8279
_cell_length_c 13.6574
_cell_angle_alpha 90.00
_cell_angle_beta 90.00
_cell_angle_gamma 90.00
loop_
_atom_site_label
_atom_site_type_symbol
_atom_site_fract_x
_atom_site_fract_y
_atom_site_fract_z
_atom_site_occupancy
P1 P 0.8650 0.4235 0.2522 1
P2 P 0.1350 0.0765 0.7522 1
P3 P 0.3650 0.5765 0.7478 1
P4 P 0.6350 0.9235 0.2478 1
P5 P 0.1350 0.5765 0.7478 1
P6 P 0.8650 0.9235 0.2478 1
P7 P 0.6350 0.4235 0.2522 1
P8 P 0.3650 0.0765 0.7522 1
P9 P 0.7500 0.2721 0.1762 1
P10 P 0.2500 0.2279 0.6762 1
P11 P 0.2500 0.7279 0.8238 1
P12 P 0.7500 0.7721 0.3238 1
P13 P 0.7500 0.5363 0.0291 1
P14 P 0.2500 0.9637 0.5291 1
P15 P 0.2500 0.4637 0.9709 1
P16 P 0.7500 0.0363 0.4709 1
P17 P 0.3656 0.2456 0.1621 1
P18 P 0.6344 0.2544 0.6621 1
P19 P 0.8656 0.7544 0.8379 1
P20 P 0.1344 0.7456 0.3379 1
P21 P 0.6344 0.7544 0.8379 1
P22 P 0.3656 0.7456 0.3379 1
P23 P 0.1344 0.2456 0.1621 1
P24 P 0.8656 0.2544 0.6621 1
P25 P 0.2500 0.1002 0.2452 1
P26 P 0.7500 0.3998 0.7452 1
P27 P 0.7500 0.8998 0.7548 1
P28 P 0.2500 0.6002 0.2548 1
P29 P 0.2500 0.0235 0.9979 1
P30 P 0.7500 0.4765 0.4979 1
P31 P 0.7500 0.9765 0.0021 1
P32 P 0.2500 0.5235 0.5021 1
Se1 Se 0.9281 0.5584 0.1351 1
Se2 Se 0.0719 0.9416 0.6351 1
Se3 Se 0.4281 0.4416 0.8649 1
Se4 Se 0.5719 0.0584 0.3649 1
Se5 Se 0.0719 0.4416 0.8649 1
Se6 Se 0.9281 0.0584 0.3649 1
Se7 Se 0.5719 0.5584 0.1351 1
Se8 Se 0.4281 0.9416 0.6351 1
Se9 Se 0.7500 0.3276 0.0168 1
Se10 Se 0.2500 0.1724 0.5168 1
Se11 Se 0.2500 0.6724 0.9832 1
Se12 Se 0.7500 0.8276 0.4832 1
Se13 Se 0.4280 0.1568 0.0198 1
Se14 Se 0.5720 0.3432 0.5198 1
Se15 Se 0.9280 0.8432 0.9802 1
Se16 Se 0.0720 0.6568 0.4802 1
Se17 Se 0.5720 0.8432 0.9802 1
Se18 Se 0.4280 0.6568 0.4802 1
Se19 Se 0.0720 0.1568 0.0198 1
Se20 Se 0.9280 0.3432 0.5198 1
Se21 Se 0.2500 0.9328 0.1476 1
Se22 Se 0.7500 0.5672 0.6476 1
Se23 Se 0.7500 0.0672 0.8524 1
Se24 Se 0.2500 0.4328 0.3524 1
```

(4)
Si2PSe at its PBEsol-relaxed geometry, computed with SCAN.

Values from the calculation:
Distance to the lowest polymorph of the same formula: 0 meV/atom

```
data_Si2PSe
_chemical_formula_sum 'Si2 P1 Se1'
_space_group_name_H-M_alt 'P 1'
_space_group_IT_number 1
_space_group_name_Hall 'P 1'
_cell_length_a 3.4215
_cell_length_b 3.4215
_cell_length_c 6.8811
_cell_angle_alpha 104.40
_cell_angle_beta 104.40
_cell_angle_gamma 90.00
loop_
_atom_site_label
_atom_site_type_symbol
_atom_site_fract_x
_atom_site_fract_y
_atom_site_fract_z
_atom_site_occupancy
P1 P 0.5000 0.5000 0.0000 1
Si1 Si 0.0000 0.0000 0.0000 1
Si2 Si 0.7500 0.2500 0.5000 1
Se1 Se 0.2500 0.7500 0.5000 1
```

(5)
Si2PSe at its PBEsol-relaxed geometry, computed with SCAN.

Values from the calculation:
Distance to the lowest polymorph of the same formula: 153 meV/atom

```
data_Si2PSe
_chemical_formula_sum 'Si2 P1 Se1'
_space_group_name_H-M_alt 'P 1'
_space_group_IT_number 1
_space_group_name_Hall 'P 1'
_cell_length_a 3.1047
_cell_length_b 4.4541
_cell_length_c 4.5628
_cell_angle_alpha 90.00
_cell_angle_beta 90.00
_cell_angle_gamma 90.00
loop_
_atom_site_label
_atom_site_type_symbol
_atom_site_fract_x
_atom_site_fract_y
_atom_site_fract_z
_atom_site_occupancy
P1 P 0.5000 0.0000 0.5000 1
Si1 Si 0.0000 0.0000 0.0000 1
Si2 Si 0.5000 0.5000 0.0000 1
Se1 Se 0.0000 0.5000 0.5000 1
```

(6)
Si60Te13P32Se3 at its PBEsol-relaxed geometry, computed with SCAN.

```
data_Si60Te13P32Se3
_chemical_formula_sum 'Si60 Te13 P32 Se3'
_space_group_name_H-M_alt 'P 1'
_space_group_IT_number 1
_space_group_name_Hall 'P 1'
_cell_length_a 9.9311
_cell_length_b 9.9312
_cell_length_c 19.8602
_cell_angle_alpha 90.00
_cell_angle_beta 90.00
_cell_angle_gamma 90.00
loop_
_atom_site_label
_atom_site_type_symbol
_atom_site_fract_x
_atom_site_fract_y
_atom_site_fract_z
_atom_site_occupancy
Si1 Si 0.5000 0.7506 0.7496 1
Si2 Si 0.5000 0.7506 0.2504 1
Si3 Si 0.2485 0.0000 0.0000 1
Si4 Si 0.2503 0.0000 0.5000 1
Si5 Si 0.0000 0.5000 0.8742 1
Si6 Si 0.0000 0.5000 0.3751 1
Si7 Si 0.5000 0.2494 0.7496 1
Si8 Si 0.5000 0.2494 0.2504 1
Si9 Si 0.7515 0.0000 0.0000 1
Si10 Si 0.7497 0.0000 0.5000 1
Si11 Si 0.0000 0.5000 0.1258 1
Si12 Si 0.0000 0.5000 0.6249 1
Si13 Si 0.5000 0.6171 0.8453 1
Si14 Si 0.5000 0.6169 0.3460 1
Si15 Si 0.3828 0.8092 0.0000 1
Si16 Si 0.3832 0.8081 0.5000 1
Si17 Si 0.1909 0.5000 0.9414 1
Si18 Si 0.1919 0.5000 0.4416 1
Si19 Si 0.5000 0.3829 0.1547 1
Si20 Si 0.5000 0.3831 0.6540 1
Si21 Si 0.6172 0.1908 0.0000 1
Si22 Si 0.6168 0.1919 0.5000 1
Si23 Si 0.8091 0.5000 0.0586 1
Si24 Si 0.8081 0.5000 0.5584 1
Si25 Si 0.3828 0.1908 0.0000 1
Si26 Si 0.3832 0.1919 0.5000 1
Si27 Si 0.1909 0.5000 0.0586 1
Si28 Si 0.1919 0.5000 0.5584 1
Si29 Si 0.6172 0.8092 0.0000 1
Si30 Si 0.6168 0.8081 0.5000 1
Si31 Si 0.8091 0.5000 0.9414 1
Si32 Si 0.8081 0.5000 0.4416 1
Si33 Si 0.5000 0.3829 0.8453 1
Si34 Si 0.5000 0.3831 0.3460 1
Si35 Si 0.5000 0.6171 0.1547 1
Si36 Si 0.5000 0.6169 0.6540 1
Si37 Si 0.0000 0.6921 0.8080 1
Si38 Si 0.0000 0.6920 0.3088 1
Si39 Si 0.8833 0.0000 0.9037 1
Si40 Si 0.8832 0.0000 0.4043 1
Si41 Si 0.6920 0.8832 0.7496 1
Si42 Si 0.6920 0.8832 0.2504 1
Si43 Si 0.0000 0.3079 0.1920 1
Si44 Si 0.0000 0.3080 0.6912 1
Si45 Si 0.1167 0.0000 0.0963 1
Si46 Si 0.1168 0.0000 0.5957 1
Si47 Si 0.3080 0.1168 0.7496 1
Si48 Si 0.3080 0.1168 0.2504 1
Si49 Si 0.8833 0.0000 0.0963 1
Si50 Si 0.8832 0.0000 0.5957 1
Si51 Si 0.6920 0.1168 0.7496 1
Si52 Si 0.6920 0.1168 0.2504 1
Si53 Si 0.1167 0.0000 0.9037 1
Si54 Si 0.1168 0.0000 0.4043 1
Si55 Si 0.3080 0.8832 0.7496 1
Si56 Si 0.3080 0.8832 0.2504 1
Si57 Si 0.0000 0.6921 0.1920 1
Si58 Si 0.0000 0.6920 0.6912 1
Si59 Si 0.0000 0.3079 0.8080 1
Si60 Si 0.0000 0.3080 0.3088 1
Te1 Te 0.0000 0.7499 0.0000 1
Te2 Te 0.0000 0.7499 0.5000 1
Te3 Te 0.2502 0.5000 0.7497 1
Te4 Te 0.2502 0.5000 0.2503 1
Te5 Te 0.5000 0.0000 0.8750 1
Te6 Te 0.5000 0.0000 0.3752 1
Te7 Te 0.0000 0.2501 0.0000 1
Te8 Te 0.0000 0.2501 0.5000 1
Te9 Te 0.7498 0.5000 0.7497 1
Te10 Te 0.7498 0.5000 0.2503 1
Te11 Te 0.5000 0.0000 0.1250 1
Te12 Te 0.5000 0.0000 0.6248 1
Te13 Te 0.5000 0.5000 0.0000 1
P1 P 0.3154 0.6847 0.9076 1
P2 P 0.3159 0.6841 0.4080 1
P3 P 0.6846 0.3153 0.0924 1
P4 P 0.6841 0.3159 0.5920 1
P5 P 0.3154 0.3153 0.0924 1
P6 P 0.3159 0.3159 0.5920 1
P7 P 0.6846 0.6847 0.9076 1
P8 P 0.6841 0.6841 0.4080 1
P9 P 0.6846 0.3153 0.9076 1
P10 P 0.6841 0.3159 0.4080 1
P11 P 0.3154 0.6847 0.0924 1
P12 P 0.3159 0.6841 0.5920 1
P13 P 0.6846 0.6847 0.0924 1
P14 P 0.6841 0.6841 0.5920 1
P15 P 0.3154 0.3153 0.9076 1
P16 P 0.3159 0.3159 0.4080 1
P17 P 0.8162 0.8163 0.8415 1
P18 P 0.8159 0.8159 0.3424 1
P19 P 0.1838 0.1837 0.1585 1
P20 P 0.1841 0.1841 0.6576 1
P21 P 0.8162 0.1837 0.1585 1
P22 P 0.8159 0.1841 0.6576 1
P23 P 0.1838 0.8163 0.8415 1
P24 P 0.1841 0.8159 0.3424 1
P25 P 0.1838 0.8163 0.1585 1
P26 P 0.1841 0.8159 0.6576 1
P27 P 0.8162 0.1837 0.8415 1
P28 P 0.8159 0.1841 0.3424 1
P29 P 0.1838 0.1837 0.8415 1
P30 P 0.1841 0.1841 0.3424 1
P31 P 0.8162 0.8163 0.1585 1
P32 P 0.8159 0.8159 0.6576 1
Se1 Se 0.5000 0.5000 0.5000 1
Se2 Se 0.0000 0.0000 0.7495 1
Se3 Se 0.0000 0.0000 0.2505 1
```

(7)
Sr2PSe at its PBEsol-relaxed geometry, computed with SCAN.

Values from the calculation:
Distance to the lowest polymorph of the same formula: 214 meV/atom

```
data_Sr2PSe
_chemical_formula_sum 'Sr2 P1 Se1'
_space_group_name_H-M_alt 'P 1'
_space_group_IT_number 1
_space_group_name_Hall 'P 1'
_cell_length_a 5.2640
_cell_length_b 5.2640
_cell_length_c 5.2640
_cell_angle_alpha 60.00
_cell_angle_beta 60.00
_cell_angle_gamma 60.00
loop_
_atom_site_label
_atom_site_type_symbol
_atom_site_fract_x
_atom_site_fract_y
_atom_site_fract_z
_atom_site_occupancy
P1 P 0.0000 0.0000 0.0000 1
Se1 Se 0.5000 0.5000 0.5000 1
Sr1 Sr 0.2500 0.2500 0.2500 1
Sr2 Sr 0.7500 0.7500 0.7500 1
```

Number 1: formation energy from raw total energies -51 meV per atom, calculated volume 933 Å³/cell, size of the total moment 0.0 μB/f.u.. Number 2: formation energy from raw total energies 329 meV per atom, calculated volume 56 Å³/cell, size of the total moment 0.0 μB/f.u.. Number 3: formation energy from raw total energies -47 meV per atom, calculated volume 1435 Å³/cell, size of the total moment 0.0 μB/f.u.. Number 4: formation energy from raw total energies 627 meV per atom, calculated volume 75 Å³/cell, size of the total moment 0.0 μB/f.u.. Number 5: formation energy from raw total energies 779 meV per atom, calculated volume 63 Å³/cell, size of the total moment 0.0 μB/f.u.. Number 6: formation energy from raw total energies -102 meV per atom, calculated volume 1959 Å³/cell, size of the total moment 0.0 μB/f.u.. Number 7: formation energy from raw total energies -1337 meV per atom, calculated volume 103 Å³/cell, size of the total moment 0.8 μB/f.u..